Record 1
VASP calculation (PBE-GGA) on a relaxed structure of SiRu2Pb.

abc: 2.964 2.964 7.993
angles: 90.00 90.00 90.00
Space group P4mm (No. 99)
Symmetry-distinct sites (fractional):
Si: 0.000 0.000 0.000 [1 per cell]
Ru: 0.000 0.000 0.613 [1 per cell]
Ru: 0.500 0.500 0.824 [1 per cell]
Pb: 0.500 0.500 0.341 [1 per cell]

Summary:
raw formation energy	1.1	eV/f.u.
magnetic moment	0.1	μB/f.u.



Record 2
VASP calculation (PBE-GGA) on a relaxed structure of SiRuPb2.

abc: 3.4729 3.4729 25.0872
angles: 90.00 90.00 120.00
Space group R-3m (No. 166, hexagonal axes)
Symmetry-distinct sites (fractional):
Si: 0.0000 0.0000 0.0000 [3 per cell]
Ru: 0.0000 0.0000 0.5000 [3 per cell]
Pb: 0.0000 0.0000 0.2447 [6 per cell]

Summary:
raw formation energy	2.5	eV/f.u.
magnetic moment	0.0	μB/f.u.



Record 3
VASP calculation (PBE-GGA) on a relaxed structure of SiRu2Pb.

abc: 6.650 3.863 5.887
angles: 90.00 112.08 90.00
Space group Cm (No. 8)
Symmetry-distinct sites (fractional):
Si: 0.000 0.000 0.000 [2 per cell]
Ru: 0.112 0.500 0.837 [2 per cell]
Ru: 0.398 0.000 0.193 [2 per cell]
Pb: 0.173 0.000 0.524 [2 per cell]

Summary:
raw formation energy	0.3	eV/f.u.
magnetic moment	0.7	μB/f.u.



Record 4
VASP calculation (PBE-GGA) on a relaxed structure of SiRu2Pb.

abc: 3.085 4.583 4.890
angles: 90.00 98.64 90.00
Space group Pm (No. 6)
Symmetry-distinct sites (fractional):
Si: 0.000 0.000 0.000 [1 per cell]
Ru: 0.393 0.000 0.620 [1 per cell]
Ru: 0.946 0.500 0.819 [1 per cell]
Pb: 0.519 0.500 0.304 [1 per cell]

Summary:
raw formation energy	1.0	eV/f.u.
magnetic moment	0.0	μB/f.u.



Record 5
VASP calculation (PBE-GGA) on a relaxed structure of SiRu4Pb.

abc: 7.368 7.368 7.368
angles: 90.00 90.00 90.00
Space group F-43m (No. 216)
Symmetry-distinct sites (fractional):
Si: 0.000 0.000 0.000 [4 per cell]
Ru: 0.126 0.126 0.626 [16 per cell]
Pb: 0.250 0.250 0.250 [4 per cell]

Summary:
raw formation energy	4.0	eV/f.u.
magnetic moment	0.0	μB/f.u.



Record 6
VASP calculation (PBE-GGA) on a relaxed structure of SiRuPb2.

abc: 3.797 5.250 8.533
angles: 90.00 90.00 90.00
Space group Immm (No. 71)
Symmetry-distinct sites (fractional):
Si: 0.000 0.000 0.000 [2 per cell]
Ru: 0.000 0.000 0.500 [2 per cell]
Pb: 0.000 0.500 0.247 [4 per cell]

Summary:
raw formation energy	2.7	eV/f.u.
magnetic moment	0.0	μB/f.u.



Record 7
VASP calculation (PBE-GGA) on a relaxed structure of SiRuPb3.

abc: 5.301 5.301 5.301
angles: 90.00 90.00 90.00
Space group Pm-3m (No. 221)
Symmetry-distinct sites (fractional):
Si: 0.000 0.000 0.000 [1 per cell]
Ru: 0.500 0.500 0.500 [1 per cell]
Pb: 0.000 0.000 0.500 [3 per cell]

Summary:
raw formation energy	6.1	eV/f.u.
magnetic moment	1.9	μB/f.u.



Record 8
VASP calculation (PBE-GGA) on a relaxed structure of SiRu2Pb.

abc: 6.460 6.460 6.460
angles: 90.00 90.00 90.00
Space group F-43m (No. 216)
Symmetry-distinct sites (fractional):
Si: 0.000 0.000 0.000 [4 per cell]
Ru: 0.000 0.000 0.500 [4 per cell]
Ru: 0.250 0.250 0.250 [4 per cell]
Pb: 0.250 0.250 0.750 [4 per cell]

Summary:
raw formation energy	2.4	eV/f.u.
magnetic moment	1.4	μB/f.u.



Record 9
VASP calculation (PBE-GGA) on a relaxed structure of SiRuPb2.

abc: 4.0009 4.0009 21.0905
angles: 90.00 90.00 120.00
Space group R3m (No. 160, hexagonal axes)
Symmetry-distinct sites (fractional):
Si: 0.0000 0.0000 0.0000 [3 per cell]
Ru: 0.0000 0.0000 0.3343 [3 per cell]
Pb: 0.0000 0.0000 0.5689 [3 per cell]
Pb: 0.0000 0.0000 0.7649 [3 per cell]

Summary:
raw formation energy	-0.1	eV/f.u.
magnetic moment	0.0	μB/f.u.



Record 10
VASP calculation (PBE-GGA) on a relaxed structure of SiRuPb2.

abc: 6.223 6.223 12.423
angles: 90.00 90.00 90.00
Space group I-42d (No. 122)
Symmetry-distinct sites (fractional):
Si: 0.000 0.000 0.000 [4 per cell]
Ru: 0.000 0.000 0.500 [4 per cell]
Pb: 0.239 0.250 0.625 [8 per cell]

Summary:
raw formation energy	3.7	eV/f.u.
magnetic moment	0.0	μB/f.u.



Record 11
VASP calculation (PBE-GGA) on a relaxed structure of SiRu2Pb.

abc: 6.319 6.319 6.319
angles: 90.00 90.00 90.00
Space group Fm-3m (No. 225)
Symmetry-distinct sites (fractional):
Si: 0.000 0.000 0.000 [4 per cell]
Ru: 0.250 0.250 0.250 [8 per cell]
Pb: 0.000 0.000 0.500 [4 per cell]

Summary:
raw formation energy	0.7	eV/f.u.
magnetic moment	0.0	μB/f.u.



Record 12
VASP calculation (PBE-GGA) on a relaxed structure of SiRu2Pb.

abc: 4.462 4.462 3.179
angles: 90.00 90.00 90.00
Space group P4/mmm (No. 123)
Symmetry-distinct sites (fractional):
Si: 0.000 0.000 0.000 [1 per cell]
Ru: 0.000 0.500 0.500 [2 per cell]
Pb: 0.500 0.500 0.000 [1 per cell]

Summary:
raw formation energy	0.8	eV/f.u.
magnetic moment	0.0	μB/f.u.